The following is a DFT calculation (PBE-GGA) of crystalline Nd12Co6Cu at its relaxed geometry.

abc: 8.6165 8.6165 8.6165
angles: 109.47 109.47 109.47
Fractional coordinates of all 19 atoms:
Co1 0.5000 0.1121 0.6121
Co2 0.1121 0.6121 0.5000
Co3 0.3879 0.5000 0.8879
Co4 0.6121 0.5000 0.1121
Co5 0.8879 0.3879 0.5000
Co6 0.5000 0.8879 0.3879
Nd1 0.8068 0.6958 0.5025
Nd2 0.8068 0.3042 0.1110
Nd3 0.3042 0.1110 0.8068
Nd4 0.6958 0.5025 0.8068
Nd5 0.1932 0.3042 0.4975
Nd6 0.5025 0.8068 0.6958
Nd7 0.1932 0.6958 0.8890
Nd8 0.6958 0.8890 0.1932
Nd9 0.4975 0.1932 0.3042
Nd10 0.1110 0.8068 0.3042
Nd11 0.8890 0.1932 0.6958
Nd12 0.3042 0.4975 0.1932
Cu1 0.0000 0.0000 0.0000

## Properties
space-group type = Im-3, No. 204
total magnetic moment = 0.00 Bohr magnetons per cell
volume = 492.5 Å³/cell
final energy = -0.4068 Ry per atom
DFT formation energy = -0.06 eV/atom
crystal system = cubic